## Li6Hg2N (PBE)

Data for a relaxed Li6Hg2N crystal.

The space group is C2/m (No. 12) and the conventional cell measures 9.625, 6.408 and 6.625 Å, with angles of 90.00, 133.36 and 90.00 degrees. The asymmetric unit holds Li at (0.002, 0.215, 0.297), Li at (0.225, 0.500, 0.223), Hg at (0.239, 0.000, 0.237) and N at (0.000, 0.000, 0.500).

The value obtained for the relative energy among the computed polymorphs is 0.0 kJ per mole of atoms.


## Li3HgN (PBE)

Data for a relaxed Li3HgN crystal.

The space group is Pm-3m (No. 221) and the conventional cell measures 4.747, 4.747 and 4.747 Å, with angles of 90.00, 90.00 and 90.00 degrees. The asymmetric unit holds Li at (0.000, 0.000, 0.500), Hg at (0.000, 0.000, 0.000) and N at (0.500, 0.500, 0.500).

The value obtained for the relative energy among the computed polymorphs is 126.7 kJ per mole of atoms.


## Li2HgN2 (PBE)

Data for a relaxed Li2HgN2 crystal.

The space group is P4/mbm (No. 127) and the conventional cell measures 6.855, 6.855 and 3.083 Å, with angles of 90.00, 90.00 and 90.00 degrees. The asymmetric unit holds Li at (0.145, 0.355, 0.000), Hg at (0.000, 0.000, 0.500) and N at (0.064, 0.564, 0.500).


## LiHgNO2 (PBE)

Data for a relaxed LiHgNO2 crystal.

The space group is P4/mmm (No. 123) and the conventional cell measures 3.784, 3.784 and 4.039 Å, with angles of 90.00, 90.00 and 90.00 degrees. The asymmetric unit holds Li at (0.000, 0.000, 0.000), Hg at (0.500, 0.500, 0.500), N at (0.000, 0.000, 0.500) and O at (0.000, 0.500, 0.000).


## LiHgNO2 (PBE)

Data for a relaxed LiHgNO2 crystal.

The space group is P4/mmm (No. 123) and the conventional cell measures 4.319, 4.319 and 4.216 Å, with angles of 90.00, 90.00 and 90.00 degrees. The asymmetric unit holds Li at (0.000, 0.000, 0.000), Hg at (0.500, 0.500, 0.500), N at (0.500, 0.500, 0.000) and O at (0.000, 0.500, 0.500).


## LiHgN2O (PBE)

Data for a relaxed LiHgN2O crystal.

The space group is P4/mmm (No. 123) and the conventional cell measures 4.089, 4.089 and 3.658 Å, with angles of 90.00, 90.00 and 90.00 degrees. The asymmetric unit holds Li at (0.000, 0.000, 0.000), Hg at (0.500, 0.500, 0.500), N at (0.000, 0.500, 0.000) and O at (0.000, 0.000, 0.500).


## LiHgN2O (PBE)

Data for a relaxed LiHgN2O crystal.

The space group is P4/mmm (No. 123) and the conventional cell measures 4.290, 4.290 and 4.391 Å, with angles of 90.00, 90.00 and 90.00 degrees. The asymmetric unit holds Li at (0.000, 0.000, 0.000), Hg at (0.500, 0.500, 0.500), N at (0.000, 0.500, 0.500) and O at (0.500, 0.500, 0.000).


## Li2ReHgN (PBE)

Data for a relaxed Li2ReHgN crystal.

The space group is P4/mmm (No. 123) and the conventional cell measures 4.152, 4.152 and 3.911 Å, with angles of 90.00, 90.00 and 90.00 degrees. The asymmetric unit holds Li at (0.000, 0.500, 0.000), Re at (0.000, 0.000, 0.500), Hg at (0.500, 0.500, 0.500) and N at (0.000, 0.000, 0.000).


Number 1: formation energy (no corrections) -0.294 eV per atom, raw total energy -2.562 eV per atom. Number 2: formation energy (no corrections) 0.997 eV per atom, raw total energy -1.877 eV per atom. Number 3: formation energy (no corrections) -0.019 eV per atom, raw total energy -4.175 eV per atom. Number 4: formation energy (no corrections) 0.751 eV per atom, raw total energy -3.340 eV per atom. Number 5: formation energy (no corrections) 0.805 eV per atom, raw total energy -3.287 eV per atom. Number 6: formation energy (no corrections) 1.491 eV per atom, raw total energy -3.273 eV per atom. Number 7: formation energy (no corrections) 1.515 eV per atom, raw total energy -3.250 eV per atom. Number 8: formation energy (no corrections) -0.113 eV per atom, raw total energy -5.094 eV per atom.